Arrangement a

Entry from Alexandria via LeMat-Bulk: a relaxed structure of LiTaIn2 (PBE).

Computed properties:
Fermi-level density of states   2.84 states/eV/cell
Calculated volume   19.91 Å³/atom

abc: 5.9605 5.9605 5.9605
angles: 149.84 131.05 58.58
Last column: nearest neighbours and their distance in Å.
Fractional positions:
Li (0.0000, 0.0000, 0.0000)  6 In 2.92-2.98, 2 Ta 3.00, 2 Li 3.10
Ta (0.2467, 0.7467, 0.5000)  6 In 2.92-3.01, 2 Li 3.00, 2 Ta 3.10
In (0.4946, 0.4946, 0.0000)  4 Li 2.92, 2 Ta 3.01, 4 In 3.10-3.13
In (0.7558, 0.2558, 0.5000)  4 Ta 2.92, 2 Li 2.98, 4 In 3.10-3.13

---

Arrangement b

Entry from Alexandria via LeMat-Bulk: a relaxed structure of LiTaIn2 (PBE).

Computed properties:
Fermi-level density of states   2.66 states/eV/cell
Calculated volume   20.73 Å³/atom

abc: 2.9634 2.9634 9.4419
angles: 90.00 90.00 90.00
Last column: nearest neighbours and their distance in Å.
Fractional positions:
Li (0.0000, 0.0000, 0.0000)  4 Li 2.96, 4 Ta 3.08, 4 In 3.09
Ta (0.5000, 0.5000, 0.2384)  4 Ta 2.96, 4 In 3.04, 4 Li 3.08
In (0.0000, 0.0000, 0.4723)  4 In 2.96, 4 Ta 3.04
In (0.5000, 0.5000, 0.7591)  4 In 2.96, 4 Li 3.09

---

Arrangement c

Entry from Alexandria via LeMat-Bulk: a relaxed structure of LiTaIn2 (PBE).

Computed properties:
Fermi-level density of states   1.29 states/eV/cell
Calculated volume   19.46 Å³/atom

abc: 5.1931 5.1931 2.9894
angles: 90.08 90.08 105.11
Last column: nearest neighbours and their distance in Å.
Fractional positions:
Li (0.0000, 0.0000, 0.0000)  2 Li 2.99, 8 In 2.99-3.00, 2 Ta 3.16
Ta (0.5000, 0.5000, 0.0000)  2 Ta 2.99, 8 In 2.99-3.00, 2 Li 3.16
In (0.0000, 0.5000, 0.5000)  4 In 2.99-3.16, 4 Ta 2.99-3.00, 4 Li 2.99-3.00
In (0.5000, 0.0000, 0.5000)  4 In 2.99-3.16, 4 Ta 2.99-3.00, 4 Li 2.99-3.00

---

Arrangement d

Entry from Alexandria via LeMat-Bulk: a relaxed structure of LiTaIn2 (PBE).

Computed properties:
Fermi-level density of states   2.01 states/eV/cell
Calculated volume   20.65 Å³/atom

abc: 3.1019 4.5465 5.8559
angles: 90.00 90.00 90.00
Last column: nearest neighbours and their distance in Å.
Fractional positions:
Li (0.0000, 0.0000, 0.0000)  1 In 2.66
Ta (0.5000, 0.5000, 0.2836)  6 In 2.84-3.02, 2 Ta 3.10
In (0.0000, 0.0000, 0.4542)  1 Li 2.66, 4 Ta 2.93
In (0.5000, 0.5000, 0.7995)  2 Ta 2.84-3.02, 4 Li 2.99, 2 In 3.10

---

Energy above the most stable structure, in kJ/mol of atoms: arrangement a 16.4; arrangement b 24.2; arrangement c 0.0; arrangement d 22.3

---

Arrangement a

Entry from Alexandria via LeMat-Bulk: a relaxed structure of LiTaIn2 (PBE).

Computed properties:
Fermi-level density of states   4.74 states/eV/cell
Calculated volume   20.25 Å³/atom

abc: 9.9060 9.9060 9.9060
angles: 18.00 18.00 18.00
Last column: nearest neighbours and their distance in Å.
Fractional positions:
Li (0.0000, 0.0000, 0.0000)  6 In 2.99, 6 Li 3.10
Ta (0.5000, 0.5000, 0.5000)  6 In 3.06, 6 Ta 3.10
In (0.2514, 0.2514, 0.2514)  3 Li 2.99, 3 Ta 3.06, 6 In 3.10
In (0.7486, 0.7486, 0.7486)  3 Li 2.99, 3 Ta 3.06, 6 In 3.10

---

Arrangement b

Entry from Alexandria via LeMat-Bulk: a relaxed structure of LiTaIn2 (PBE).

Computed properties:
Fermi-level density of states   3.35 states/eV/cell
Calculated volume   20.13 Å³/atom

abc: 4.8468 4.8468 4.8468
angles: 60.00 60.00 60.00
Last column: nearest neighbours and their distance in Å.
Fractional positions:
Li (0.0000, 0.0000, 0.0000)  4 Ta 2.97, 4 In 2.97
Ta (0.7500, 0.7500, 0.7500)  4 In 2.97, 4 Li 2.97
In (0.2500, 0.2500, 0.2500)  4 In 2.97, 4 Li 2.97
In (0.5000, 0.5000, 0.5000)  4 Ta 2.97, 4 In 2.97

---

Energy above the most stable structure, in kJ/mol of atoms: arrangement a 0.0; arrangement b 44.1

---

Arrangement a

Entry from Alexandria via LeMat-Bulk: a relaxed structure of LiTaIn2 (PBE).

Computed properties:
Fermi-level density of states   2.92 states/eV/cell
Calculated volume   20.91 Å³/atom

abc: 10.2281 10.2281 10.2281
angles: 17.41 17.41 17.41
Last column: nearest neighbours and their distance in Å.
Fractional positions:
Li (0.0000, 0.0000, 0.0000)  3 In 3.02, 3 Ta 3.06, 6 Li 3.10
Ta (0.7488, 0.7488, 0.7488)  3 In 3.04, 3 Li 3.06, 6 Ta 3.10
In (0.2527, 0.2527, 0.2527)  3 Li 3.02, 9 In 3.10-3.23
In (0.4970, 0.4970, 0.4970)  3 Ta 3.04, 9 In 3.10-3.23

---

Arrangement b

Entry from Alexandria via LeMat-Bulk: a relaxed structure of LiTaIn2 (PBE).

Computed properties:
Fermi-level density of states   3.02 states/eV/cell
Calculated volume   19.76 Å³/atom

abc: 2.9575 2.9575 9.0372
angles: 90.00 90.00 90.00
Last column: nearest neighbours and their distance in Å.
Fractional positions:
Li (0.0000, 0.0000, 0.0000)  4 Li 2.96, 8 In 3.05
Ta (0.0000, 0.0000, 0.5000)  4 Ta 2.96, 8 In 3.10
In (0.5000, 0.5000, 0.2463)  4 In 2.96, 4 Li 3.05, 4 Ta 3.10
In (0.5000, 0.5000, 0.7537)  4 In 2.96, 4 Li 3.05, 4 Ta 3.10

---

Arrangement c

Entry from Alexandria via LeMat-Bulk: a relaxed structure of LiTaIn2 (PBE).

Computed properties:
Fermi-level density of states   3.67 states/eV/cell
Calculated volume   22.24 Å³/atom

abc: 10.1370 10.1370 10.1370
angles: 155.57 155.57 34.82
Last column: nearest neighbours and their distance in Å.
Fractional positions:
Li (0.0000, 0.0000, 0.0000)  4 In 2.86, 4 Ta 3.03
Li (0.7500, 0.2500, 0.5000)  4 In 2.86, 4 Ta 3.03
Ta (0.2500, 0.7500, 0.5000)  4 In 2.85, 4 Li 3.03
Ta (0.5000, 0.5000, 0.0000)  4 In 2.85, 4 Li 3.03
In (0.1259, 0.6250, 0.0009)  2 Ta 2.85, 2 Li 2.86, 4 In 3.03-3.04
In (0.3750, 0.3759, 0.5009)  2 Ta 2.85, 2 Li 2.86, 4 In 3.03-3.04
In (0.6241, 0.1250, 0.9991)  2 Ta 2.85, 2 Li 2.86, 4 In 3.03-3.04
In (0.8750, 0.8741, 0.4991)  2 Ta 2.85, 2 Li 2.86, 4 In 3.03-3.04

---

Energy above the most stable structure, in kJ/mol of atoms: arrangement a 22.5; arrangement b 0.0; arrangement c 62.9

---

Arrangement a

Entry from Alexandria via LeMat-Bulk: a relaxed structure of LiTaIn2 (PBE).

Computed properties:
Fermi-level density of states   3.32 states/eV/cell
Calculated volume   19.48 Å³/atom

abc: 5.2203 5.2203 5.2203
angles: 131.60 131.60 70.86
Last column: nearest neighbours and their distance in Å.
Fractional positions:
Li (0.0000, 0.0000, 0.0000)  8 In 3.02, 4 Ta 3.03
Ta (0.5000, 0.5000, 0.0000)  8 In 3.02, 4 Li 3.03
In (0.2500, 0.7500, 0.5000)  4 Ta 3.02, 4 Li 3.02, 4 In 3.03
In (0.7500, 0.2500, 0.5000)  4 Ta 3.02, 4 Li 3.02, 4 In 3.03

---

Arrangement b

Entry from Alexandria via LeMat-Bulk: a relaxed structure of LiTaIn2 (PBE).

Computed properties:
Fermi-level density of states   2.53 states/eV/cell
Calculated volume   19.81 Å³/atom

abc: 5.6527 5.6527 5.6527
angles: 138.25 138.25 60.52
Last column: nearest neighbours and their distance in Å.
Fractional positions:
Li (0.0000, 0.0000, 0.0000)  8 In 2.85-3.16, 4 Ta 3.16
Ta (0.2500, 0.7500, 0.5000)  8 In 2.85-3.16, 4 Li 3.16
In (0.5000, 0.5000, 0.0000)  4 Li 2.85, 4 Ta 3.16, 4 In 3.16
In (0.7500, 0.2500, 0.5000)  4 Ta 2.85, 4 Li 3.16, 4 In 3.16

---

Energy above the most stable structure, in kJ/mol of atoms: arrangement a 1.4; arrangement b 0.0